1.
This record from Alexandria describes PrDyZnGe after structural relaxation. The functional is PBE.

a = 5.130 Å, b = 5.130 Å, c = 5.130 Å
α = 60.00°, β = 60.00°, γ = 60.00°
Fractional positions:
Pr (0.000, 0.000, 0.000)
Dy (0.500, 0.500, 0.500)
Zn (0.250, 0.250, 0.250)
Ge (0.750, 0.750, 0.750)

Output
Space group: F-43m
Total moment, μB/cell: 0.00
Formation energy from the elements, eV per atom: -0.512

---

2.
This record from Alexandria describes Pm2Hg2Ir after structural relaxation. The functional is PBE.

a = 10.106 Å, b = 10.106 Å, c = 10.106 Å
α = 159.77°, β = 159.77°, γ = 28.77°
Fractional positions:
Pm (0.087, 0.087, 0.000)
Pm (0.913, 0.913, 0.000)
Hg (0.299, 0.299, 0.000)
Hg (0.701, 0.701, 0.000)
Ir (0.500, 0.500, 0.000)

Output
Space group: I4/mmm
Total moment, μB/cell: 0.00
Formation energy from the elements, eV per atom: -0.481

---

3.
This record from Alexandria describes CePr3Ru3 after structural relaxation. The functional is PBE.

a = 6.608 Å, b = 6.608 Å, c = 14.822 Å
α = 111.94°, β = 111.94°, γ = 35.96°
Fractional positions:
Ce (0.158, 0.158, 0.391)
Ce (0.842, 0.842, 0.609)
Pr (0.129, 0.129, 0.632)
Pr (0.325, 0.325, 0.924)
Pr (0.465, 0.465, 0.200)
Pr (0.535, 0.535, 0.800)
Pr (0.675, 0.675, 0.076)
Pr (0.871, 0.871, 0.368)
Ru (0.039, 0.039, 0.934)
Ru (0.177, 0.177, 0.241)
Ru (0.417, 0.417, 0.540)
Ru (0.583, 0.583, 0.460)
Ru (0.823, 0.823, 0.759)
Ru (0.961, 0.961, 0.066)

Output
Space group: C2/m
Total moment, μB/cell: 0.00
Formation energy from the elements, eV per atom: -0.184

---

4.
This record from Alexandria describes ZnRe2Se after structural relaxation. The functional is PBE.

a = 5.399 Å, b = 5.399 Å, c = 5.399 Å
α = 147.87°, β = 130.88°, γ = 59.91°
Fractional positions:
Zn (0.000, 0.000, 0.000)
Re (0.284, 0.784, 0.500)
Re (0.716, 0.216, 0.500)
Se (0.500, 0.500, 0.000)

Output
Space group: Immm
Total moment, μB/cell: 0.00
Formation energy from raw total energies, eV/atom: 0.641

---

5.
This record from Alexandria describes Na2P2Ir after structural relaxation. The functional is PBE.

a = 6.002 Å, b = 6.002 Å, c = 4.848 Å
α = 90.00°, β = 90.00°, γ = 90.00°
Fractional positions:
Na (0.185, 0.315, 0.000)
Na (0.315, 0.815, 0.000)
Na (0.685, 0.185, 0.000)
Na (0.815, 0.685, 0.000)
P (0.131, 0.631, 0.500)
P (0.369, 0.131, 0.500)
P (0.631, 0.869, 0.500)
P (0.869, 0.369, 0.500)
Ir (0.000, 0.000, 0.500)
Ir (0.500, 0.500, 0.500)

Output
Space group: P4/mbm
Total moment, μB/cell: 0.00
Formation energy from the elements, eV per atom: -0.570

---

6.
This record from Alexandria describes Tb4Nd3Pd4 after structural relaxation. The functional is PBE.

a = 9.029 Å, b = 9.029 Å, c = 9.029 Å
α = 149.09°, β = 130.05°, γ = 59.91°
Fractional positions:
Tb (0.046, 0.828, 0.218)
Tb (0.390, 0.172, 0.218)
Tb (0.610, 0.828, 0.782)
Tb (0.954, 0.172, 0.782)
Nd (0.000, 0.500, 0.500)
Nd (0.398, 0.398, 0.000)
Nd (0.602, 0.602, 0.000)
Pd (0.204, 0.704, 0.500)
Pd (0.315, 0.000, 0.315)
Pd (0.685, 0.000, 0.685)
Pd (0.796, 0.296, 0.500)

Output
Space group: Immm
Total moment, μB/cell: 0.00
Formation energy from the elements, eV per atom: -0.558

---

7.
This record from Alexandria describes TmSc2InRh4 after structural relaxation. The functional is PBE.

a = 7.984 Å, b = 7.984 Å, c = 7.984 Å
α = 33.62°, β = 33.62°, γ = 33.62°
Fractional positions:
Tm (0.000, 0.000, 0.000)
Sc (0.246, 0.246, 0.246)
Sc (0.754, 0.754, 0.754)
In (0.500, 0.500, 0.500)
Rh (0.124, 0.124, 0.124)
Rh (0.375, 0.375, 0.375)
Rh (0.625, 0.625, 0.625)
Rh (0.876, 0.876, 0.876)

Output
Space group: R-3m
Total moment, μB/cell: 0.00
Formation energy from the elements, eV per atom: -0.905

---

8.
This record from Alexandria describes PmZn6Pt2 after structural relaxation. The functional is PBE.

a = 3.992 Å, b = 3.992 Å, c = 9.807 Å
α = 90.00°, β = 90.00°, γ = 90.00°
Fractional positions:
Pm (0.000, 0.000, 0.000)
Zn (0.000, 0.000, 0.500)
Zn (0.000, 0.500, 0.306)
Zn (0.000, 0.500, 0.694)
Zn (0.500, 0.000, 0.306)
Zn (0.500, 0.000, 0.694)
Zn (0.500, 0.500, 0.500)
Pt (0.500, 0.500, 0.136)
Pt (0.500, 0.500, 0.864)

Output
Space group: P4/mmm
Total moment, μB/cell: 0.00
Formation energy from the elements, eV per atom: -0.438

---

9.
This record from Alexandria describes PrH8Pt2Rh3 after structural relaxation. The functional is PBE.

a = 5.741 Å, b = 5.741 Å, c = 5.741 Å
α = 59.80°, β = 59.80°, γ = 59.80°
Fractional positions:
Pr (0.000, 0.000, 0.000)
H (0.324, 0.324, 0.881)
H (0.324, 0.881, 0.324)
H (0.385, 0.385, 0.385)
H (0.486, 0.838, 0.838)
H (0.838, 0.486, 0.838)
H (0.838, 0.838, 0.486)
H (0.841, 0.841, 0.841)
H (0.881, 0.324, 0.324)
Pt (0.254, 0.254, 0.254)
Pt (0.621, 0.621, 0.621)
Rh (0.132, 0.625, 0.625)
Rh (0.625, 0.132, 0.625)
Rh (0.625, 0.625, 0.132)

Output
Space group: R3m
Total moment, μB/cell: 0.00

---

10.
This record from Alexandria describes RbTlI2 after structural relaxation. The functional is PBE.

a = 6.165 Å, b = 6.165 Å, c = 4.376 Å
α = 90.00°, β = 90.00°, γ = 90.00°
Fractional positions:
Rb (0.000, 0.000, 0.000)
Tl (0.500, 0.500, 0.000)
I (0.000, 0.500, 0.500)
I (0.500, 0.000, 0.500)

Output
Space group: P4/mmm
Total moment, μB/cell: 0.00
Formation energy from raw total energies, eV/atom: -1.028

---

11.
This record from Alexandria describes Pa2HgH after structural relaxation. The functional is PBE.

a = 8.791 Å, b = 8.791 Å, c = 8.791 Å
α = 21.21°, β = 21.21°, γ = 21.21°
Fractional positions:
Pa (0.227, 0.227, 0.227)
Pa (0.773, 0.773, 0.773)
Hg (0.000, 0.000, 0.000)
H (0.500, 0.500, 0.500)

Output
Space group: R-3m
Total moment, μB/cell: 0.00

---

12.
This record from Alexandria describes CrRu3 after structural relaxation. The functional is PBE.

a = 4.444 Å, b = 4.444 Å, c = 4.444 Å
α = 90.00°, β = 90.00°, γ = 90.00°
Fractional positions:
Cr (0.000, 0.000, 0.000)
Ru (0.000, 0.000, 0.500)
Ru (0.000, 0.500, 0.000)
Ru (0.500, 0.000, 0.000)

Output
Space group: Pm-3m
Total moment, μB/cell: 2.85
Formation energy from the elements, eV per atom: 1.985

---

| no. | total DFT energy (no corrections) (eV/atom) |
| --- | --- |
| 1 | -4.33 |
| 2 | -4.27 |
| 3 | -7.05 |
| 4 | -6.77 |
| 5 | -5.03 |
| 6 | -5.43 |
| 7 | -7.07 |
| 8 | -3.16 |
| 9 | -4.90 |
| 10 | -2.64 |
| 11 | -5.74 |
| 12 | -7.38 |